PBE MnSbW, relaxed; formation energy without anion corrections = 131 meV/atom; total magnetic moment = 0.0 μB per cell; E = -8.62 eV/atom; ΔE to the lowest computed polymorph = 0.0 meV per atom
1.0
4.181 0.000 0.000
2.090 3.621 0.000
2.090 1.207 3.414
Mn Sb W
1 1 1
direct
0.250 0.250 0.250
0.000 0.000 0.000
0.500 0.500 0.500

PBE Mn2SbW, relaxed; formation energy without anion corrections = 309 meV/atom; total magnetic moment = 3.6 μB per cell; E = -8.54 eV/atom
1.0
4.866 -0.003 0.000
1.816 4.515 0.000
-3.341 -2.256 2.726
Mn Sb W
2 1 1
direct
0.000 0.000 0.000
0.250 0.750 0.500
0.500 0.500 0.000
0.750 0.250 0.500

PBE MnSbW2, relaxed; formation energy without anion corrections = 564 meV/atom; total magnetic moment = 2.1 μB per cell; E = -9.24 eV/atom
1.0
4.494 0.000 0.000
0.000 4.494 0.000
0.000 0.000 3.248
Mn Sb W
1 1 2
direct
0.500 0.000 0.500
0.000 0.500 0.500
0.000 0.000 0.000
0.500 0.500 0.000

PBE MnSb3W, relaxed; formation energy without anion corrections = 968 meV/atom; total magnetic moment = 4.4 μB per cell; E = -5.93 eV/atom; ΔE to the lowest computed polymorph = 0.0 meV per atom
1.0
5.264 0.000 0.000
0.000 5.264 0.000
0.000 0.000 5.264
Sb Mn W
3 1 1
direct
0.000 0.500 0.000
0.000 0.000 0.500
0.500 0.000 0.000
0.500 0.500 0.500
0.000 0.000 0.000

PBE Mn2SbW, relaxed; formation energy without anion corrections = 463 meV/atom; total magnetic moment = 3.1 μB per cell; E = -8.39 eV/atom
1.0
-4.072 6.466 -2.828
-6.292 4.375 -2.765
-5.586 5.926 -0.235
Mn Sb W
2 1 1
direct
0.006 0.006 0.006
0.494 0.494 0.494
0.250 0.250 0.250
0.750 0.750 0.750

PBE MnSb2W, relaxed; formation energy without anion corrections = 520 meV/atom; total magnetic moment = 4.1 μB per cell; E = -7.07 eV/atom; ΔE to the lowest computed polymorph = 296.5 meV per atom
1.0
-4.942 3.259 6.345
-3.324 0.907 7.964
-1.940 3.851 7.530
Mn Sb W
1 2 1
direct
0.750 0.750 0.750
0.998 0.998 0.998
0.502 0.502 0.502
0.250 0.250 0.250

PBE MnSbW2, relaxed; formation energy without anion corrections = 518 meV/atom; total magnetic moment = 2.4 μB per cell; E = -9.28 eV/atom
1.0
-3.526 -1.207 -7.715
-1.550 -3.589 -7.624
-4.341 -3.842 -6.309
Mn Sb W
1 1 2
direct
0.506 0.506 0.506
0.752 0.752 0.752
0.994 0.994 0.994
0.249 0.249 0.249

PBE MnSbW2, relaxed; formation energy without anion corrections = 423 meV/atom; total magnetic moment = 2.4 μB per cell; E = -9.38 eV/atom
1.0
-0.817 -1.411 4.843
2.210 -2.561 3.830
2.003 2.499 3.151
Mn Sb W
1 1 2
direct
0.499 0.499 0.501
0.241 0.241 0.259
0.004 0.004 0.996
0.756 0.756 0.744

PBE MnSb2W, relaxed; formation energy without anion corrections = 224 meV/atom; total magnetic moment = 1.7 μB per cell; E = -7.37 eV/atom; ΔE to the lowest computed polymorph = 0.0 meV per atom
1.0
3.186 0.000 0.000
0.000 3.186 0.000
0.000 0.000 8.216
Mn Sb W
1 2 1
direct
0.500 0.500 0.710
0.000 0.000 0.916
0.500 0.500 0.321
0.000 0.000 0.553

PBE Mn2SbW, relaxed; formation energy without anion corrections = 245 meV/atom; total magnetic moment = 4.4 μB per cell; E = -8.61 eV/atom
1.0
-2.301 -2.406 0.196
0.500 -0.741 -3.216
3.960 -3.668 1.462
Mn Sb W
2 1 1
direct
0.000 0.000 0.978
0.000 0.000 0.522
0.500 0.500 0.250
0.500 0.500 0.750

PBE MnSb2W, relaxed; formation energy without anion corrections = 547 meV/atom; total magnetic moment = 3.5 μB per cell; E = -7.04 eV/atom; ΔE to the lowest computed polymorph = 323.6 meV per atom
1.0
4.746 -0.081 -0.274
3.598 3.095 -0.274
0.939 0.339 5.191
Mn Sb W
1 2 1
direct
0.250 0.250 0.250
0.017 0.017 0.987
0.483 0.483 0.513
0.750 0.750 0.750

PBE MnSbW2, relaxed; formation energy without anion corrections = 641 meV/atom; total magnetic moment = 1.1 μB per cell; E = -9.16 eV/atom
1.0
8.949 -0.012 -0.007
8.464 2.905 -0.007
8.464 1.406 2.542
Mn Sb W
1 1 2
direct
0.250 0.250 0.250
0.750 0.750 0.750
0.991 0.991 0.991
0.509 0.509 0.509

PBE Mn2SbW, relaxed; formation energy without anion corrections = 346 meV/atom; total magnetic moment = 4.8 μB per cell; E = -8.51 eV/atom
1.0
3.305 0.000 0.000
0.000 3.304 0.000
0.000 0.000 5.723
Mn Sb W
2 1 1
direct
0.000 0.000 0.004
0.500 0.500 0.228
0.000 0.000 0.484
0.500 0.500 0.784

PBE MnSbW2, relaxed; formation energy without anion corrections = 473 meV/atom; total magnetic moment = 2.7 μB per cell; E = -9.33 eV/atom
1.0
4.876 0.130 0.000
1.322 4.695 0.000
-3.099 -2.412 2.893
Mn Sb W
1 1 2
direct
0.500 0.500 0.000
0.750 0.250 0.500
0.000 0.000 0.000
0.250 0.750 0.500

PBE Mn2SbW, relaxed; formation energy without anion corrections = 735 meV/atom; total magnetic moment = 10.0 μB per cell; E = -8.12 eV/atom
1.0
7.104 0.000 0.000
0.000 7.104 0.000
3.552 3.552 2.724
Sb Mn W
2 4 2
direct
0.500 0.500 0.000
0.250 0.750 0.500
0.644 0.125 0.250
0.106 0.625 0.250
0.375 0.356 0.750
0.875 0.894 0.750
0.000 0.000 0.000
0.750 0.250 0.500

PBE Mn2SbW, relaxed; formation energy without anion corrections = 422 meV/atom; total magnetic moment = 5.2 μB per cell; E = -8.43 eV/atom
1.0
2.901 0.000 0.000
-0.797 2.789 0.000
0.000 0.000 8.126
Mn Sb W
2 1 1
direct
0.000 0.000 0.983
0.000 0.000 0.517
0.500 0.500 0.250
0.500 0.500 0.750

PBE MnSbW, relaxed; formation energy without anion corrections = 541 meV/atom; total magnetic moment = 0.0 μB per cell; E = -8.21 eV/atom; ΔE to the lowest computed polymorph = 409.4 meV per atom
1.0
4.323 0.000 0.000
-2.161 3.744 0.000
0.000 0.000 2.948
Mn Sb W
1 1 1
direct
0.000 0.000 0.167
0.333 0.667 0.167
0.667 0.333 0.667

PBE MnSbW2, relaxed; formation energy without anion corrections = 383 meV/atom; total magnetic moment = 1.4 μB per cell; E = -9.42 eV/atom
1.0
-0.176 0.310 -5.174
0.706 -2.857 -4.271
-3.587 -1.484 -1.702
Mn Sb W
1 1 2
direct
0.750 0.750 0.750
0.250 0.250 0.250
0.005 0.005 0.995
0.495 0.495 0.505

PBE MnSbW2, relaxed; formation energy without anion corrections = 513 meV/atom; total magnetic moment = 1.8 μB per cell; E = -9.29 eV/atom
1.0
4.371 0.000 0.000
0.000 2.882 0.011
0.000 0.981 5.241
Mn Sb W
1 1 2
direct
0.000 0.585 0.478
0.500 0.613 0.743
0.000 0.032 0.016
0.500 0.270 0.264

PBE MnSbW2, relaxed; formation energy without anion corrections = 594 meV/atom; total magnetic moment = 2.6 μB per cell; E = -9.21 eV/atom
1.0
5.253 -0.038 -0.004
-2.306 4.710 -0.036
0.526 0.899 2.697
Mn Sb W
1 1 2
direct
0.500 0.500 0.000
0.500 0.000 0.500
0.000 0.000 0.000
0.000 0.500 0.500